No. 1
This record from OQMD via LeMat-Bulk describes W3I11 after structural relaxation. The functional is PBE.

The structure in CIF format:
```
data_W3I11
_chemical_formula_sum 'W12 I44'
_space_group_name_H-M_alt 'P 1'
_space_group_IT_number 1
_cell_length_a 14.2399
_cell_length_b 14.2399
_cell_length_c 14.8027
_cell_angle_alpha 116.38
_cell_angle_beta 116.38
_cell_angle_gamma 67.01
loop_
_space_group_symop_operation_xyz
'x,y,z'
loop_
_atom_site_label
_atom_site_type_symbol
_atom_site_fract_x
_atom_site_fract_y
_atom_site_fract_z
_atom_site_occupancy
W1 W 0.0264 0.6173 0.6297 1
W2 W 0.0459 0.5591 0.4382 1
W3 W 0.1438 0.4196 0.5492 1
W4 W 0.3827 0.9736 0.8703 1
W5 W 0.4196 0.1438 0.0492 1
W6 W 0.4409 0.9541 0.0618 1
W7 W 0.5591 0.0459 0.9382 1
W8 W 0.5804 0.8562 0.9508 1
W9 W 0.6173 0.0264 0.1297 1
W10 W 0.8562 0.5804 0.4508 1
W11 W 0.9541 0.4409 0.5618 1
W12 W 0.9736 0.3827 0.3703 1
I1 I 0.0421 0.1449 0.6746 1
I2 I 0.0468 0.3529 0.0249 1
I3 I 0.0665 0.7974 0.8244 1
I4 I 0.0730 0.2326 0.4791 1
I5 I 0.1157 0.6485 0.3428 1
I6 I 0.1300 0.4788 0.7529 1
I7 I 0.1449 0.0421 0.1746 1
I8 I 0.1661 0.6651 0.0749 1
I9 I 0.1710 0.3561 0.3507 1
I10 I 0.2026 0.9335 0.6756 1
I11 I 0.2282 0.5981 0.6212 1
I12 I 0.2326 0.0730 0.9791 1
I13 I 0.2985 0.3618 0.1248 1
I14 I 0.3349 0.8339 0.4251 1
I15 I 0.3515 0.8843 0.1572 1
I16 I 0.3529 0.0468 0.5249 1
I17 I 0.3561 0.1710 0.8507 1
I18 I 0.3618 0.2985 0.6248 1
I19 I 0.4019 0.7718 0.8788 1
I20 I 0.4404 0.4613 0.3913 1
I21 I 0.4613 0.4404 0.8913 1
I22 I 0.4788 0.1300 0.2529 1
I23 I 0.5212 0.8700 0.7471 1
I24 I 0.5387 0.5596 0.1087 1
I25 I 0.5596 0.5387 0.6087 1
I26 I 0.5981 0.2282 0.1212 1
I27 I 0.6382 0.7015 0.3752 1
I28 I 0.6439 0.8290 0.1493 1
I29 I 0.6471 0.9532 0.4751 1
I30 I 0.6485 0.1157 0.8428 1
I31 I 0.6651 0.1661 0.5749 1
I32 I 0.7015 0.6382 0.8752 1
I33 I 0.7674 0.9270 0.0209 1
I34 I 0.7718 0.4019 0.3788 1
I35 I 0.7974 0.0665 0.3244 1
I36 I 0.8290 0.6439 0.6493 1
I37 I 0.8339 0.3349 0.9251 1
I38 I 0.8551 0.9579 0.8254 1
I39 I 0.8700 0.5212 0.2471 1
I40 I 0.8843 0.3515 0.6572 1
I41 I 0.9270 0.7674 0.5209 1
I42 I 0.9335 0.2026 0.1756 1
I43 I 0.9532 0.6471 0.9751 1
I44 I 0.9579 0.8551 0.3254 1
```

## Properties
Symmetry: C2/c
Total energy (eV per atom): -4.12
Spin magnetization (μB/f.u.): 0.0

***

No. 2
This record from OQMD via LeMat-Bulk describes Hf2HgGe after structural relaxation. The functional is PBE.

The structure in CIF format:
```
data_Hf2HgGe
_chemical_formula_sum 'Hf2 Hg1 Ge1'
_space_group_name_H-M_alt 'P 1'
_space_group_IT_number 1
_cell_length_a 4.9354
_cell_length_b 4.9354
_cell_length_c 4.9354
_cell_angle_alpha 60.00
_cell_angle_beta 60.00
_cell_angle_gamma 60.00
loop_
_space_group_symop_operation_xyz
'x,y,z'
loop_
_atom_site_label
_atom_site_type_symbol
_atom_site_fract_x
_atom_site_fract_y
_atom_site_fract_z
_atom_site_occupancy
Hf1 Hf 0.0000 0.0000 0.0000 1
Hf2 Hf 0.2500 0.2500 0.2500 1
Hg1 Hg 0.7500 0.7500 0.7500 1
Ge1 Ge 0.5000 0.5000 0.5000 1
```

## Properties
Symmetry: F-43m
Total energy (eV per atom): -5.79
Spin magnetization (μB/f.u.): 1.6

***

No. 3
This record from OQMD via LeMat-Bulk describes CuAgHgGeTe4 after structural relaxation. The functional is PBE.

The structure in CIF format:
```
data_CuAgHgGeTe4
_chemical_formula_sum 'Cu1 Ag1 Hg1 Ge1 Te4'
_space_group_name_H-M_alt 'P 1'
_space_group_IT_number 1
_cell_length_a 7.6064
_cell_length_b 7.6064
_cell_length_c 7.6064
_cell_angle_alpha 130.20
_cell_angle_beta 130.20
_cell_angle_gamma 73.09
loop_
_space_group_symop_operation_xyz
'x,y,z'
loop_
_atom_site_label
_atom_site_type_symbol
_atom_site_fract_x
_atom_site_fract_y
_atom_site_fract_z
_atom_site_occupancy
Cu1 Cu 0.0000 0.0000 0.0000 1
Ag1 Ag 0.5000 0.5000 0.0000 1
Hg1 Hg 0.7500 0.2500 0.5000 1
Ge1 Ge 0.2500 0.7500 0.5000 1
Te1 Te 0.1359 0.6627 0.0327 1
Te2 Te 0.3373 0.3699 0.4732 1
Te3 Te 0.6301 0.1033 0.9673 1
Te4 Te 0.8967 0.8641 0.5268 1
```

## Properties
Symmetry: I-4
Total energy (eV per atom): -3.12

***

No. 4
This record from OQMD via LeMat-Bulk describes CdTcAsO after structural relaxation. The functional is PBE.

The structure in CIF format:
```
data_CdTcAsO
_chemical_formula_sum 'Cd2 Tc2 As2 O2'
_space_group_name_H-M_alt 'P 1'
_space_group_IT_number 1
_cell_length_a 3.6057
_cell_length_b 3.6057
_cell_length_c 9.7401
_cell_angle_alpha 90.00
_cell_angle_beta 90.00
_cell_angle_gamma 90.00
loop_
_space_group_symop_operation_xyz
'x,y,z'
loop_
_atom_site_label
_atom_site_type_symbol
_atom_site_fract_x
_atom_site_fract_y
_atom_site_fract_z
_atom_site_occupancy
Cd1 Cd 0.2500 0.7500 0.0000 1
Cd2 Cd 0.7500 0.2500 0.0000 1
Tc1 Tc 0.2500 0.2500 0.3783 1
Tc2 Tc 0.7500 0.7500 0.6217 1
As1 As 0.2500 0.2500 0.7419 1
As2 As 0.7500 0.7500 0.2581 1
O1 O 0.2500 0.7500 0.5000 1
O2 O 0.7500 0.2500 0.5000 1
```

## Properties
Symmetry: P4/nmm
Distance to the lowest polymorph of the same formula (eV/f.u.): 2.24
Spin magnetization (μB/f.u.): 0.0

***

No. 5
This record from OQMD via LeMat-Bulk describes DyP after structural relaxation. The functional is PBE.

The structure in CIF format:
```
data_DyP
_chemical_formula_sum 'Dy1 P1'
_space_group_name_H-M_alt 'P 1'
_space_group_IT_number 1
_cell_length_a 4.0048
_cell_length_b 4.0048
_cell_length_c 4.0048
_cell_angle_alpha 60.00
_cell_angle_beta 60.00
_cell_angle_gamma 60.00
loop_
_space_group_symop_operation_xyz
'x,y,z'
loop_
_atom_site_label
_atom_site_type_symbol
_atom_site_fract_x
_atom_site_fract_y
_atom_site_fract_z
_atom_site_occupancy
Dy1 Dy 0.0000 0.0000 0.0000 1
P1 P 0.5000 0.5000 0.5000 1
```

## Properties
Symmetry: Fm-3m
Total energy (eV per atom): -6.62
Spin magnetization (μB/f.u.): 0.0

***

No. 6
This record from OQMD via LeMat-Bulk describes ZnI2 after structural relaxation. The functional is PBE.

The structure in CIF format:
```
data_ZnI2
_chemical_formula_sum 'Zn4 I8'
_space_group_name_H-M_alt 'P 1'
_space_group_IT_number 1
_cell_length_a 7.0781
_cell_length_b 10.4484
_cell_length_c 6.8604
_cell_angle_alpha 90.00
_cell_angle_beta 93.94
_cell_angle_gamma 90.00
loop_
_space_group_symop_operation_xyz
'x,y,z'
loop_
_atom_site_label
_atom_site_type_symbol
_atom_site_fract_x
_atom_site_fract_y
_atom_site_fract_z
_atom_site_occupancy
Zn1 Zn 0.2465 0.2475 0.0014 1
Zn2 Zn 0.2465 0.2525 0.5014 1
Zn3 Zn 0.7535 0.7475 0.4986 1
Zn4 Zn 0.7535 0.7525 0.9986 1
I1 I 0.0348 0.1193 0.2389 1
I2 I 0.0348 0.3807 0.7389 1
I3 I 0.4594 0.1199 0.7640 1
I4 I 0.4594 0.3801 0.2640 1
I5 I 0.5406 0.6199 0.7360 1
I6 I 0.5406 0.8801 0.2360 1
I7 I 0.9652 0.6193 0.2611 1
I8 I 0.9652 0.8807 0.7611 1
```

## Properties
Symmetry: P2_1/c
Total energy (eV per atom): -2.03